Entry 1:
RbIrW2Se8 | PBE-GGA | relaxed

Lattice parameters (Å, degrees): 6.4492 6.4492 28.9355 90.00 90.00 120.00
Space group R-3 (No. 148, hexagonal axes)
One atom of each set of equivalent atoms:
Rb  0.0000  0.0000  0.0000 x3
Ir  0.0000  0.0000  0.5000 x3
W  0.0000  0.0000  0.2414 x6
Se  0.0000  0.0000  0.3214 x6
Se  0.0110  0.3187  0.5519 x18

Properties
Uncorrected formation energy in eV per atom: -0.305
Crystal system: trigonal



Entry 2:
RbSi2Ir | PBE-GGA | relaxed

Lattice parameters (Å, degrees): 6.6004 6.6004 6.6004 90.00 90.00 90.00
Space group Fm-3m (No. 225)
One atom of each set of equivalent atoms:
Rb  0.0000  0.0000  0.0000 x4
Si  0.2500  0.2500  0.2500 x8
Ir  0.0000  0.0000  0.5000 x4

Properties
Uncorrected formation energy in eV per atom: 0.750
Crystal system: cubic
Offset from the most stable computed form in meV/atom: 966



Entry 3:
RbSi2Ir2 | PBE-GGA | relaxed

Lattice parameters (Å, degrees): 7.8662 7.8662 2.8223 90.00 90.00 90.00
Space group P4/mbm (No. 127)
One atom of each set of equivalent atoms:
Rb  0.0000  0.0000  0.0000 x2
Si  0.1317  0.3683  0.0000 x4
Ir  0.1347  0.6347  0.5000 x4

Properties
Uncorrected formation energy in eV per atom: 0.048
Crystal system: tetragonal
Offset from the most stable computed form in meV/atom: 481



Entry 4:
RbSiIr | PBE-GGA | relaxed

Lattice parameters (Å, degrees): 4.1515 4.1515 10.6136 90.00 90.00 90.00
Space group P4/nmm (No. 129, origin choice 2)
One atom of each set of equivalent atoms:
Rb  0.2500  0.2500  0.2057 x2
Si  0.2500  0.2500  0.6120 x2
Ir  0.2500  0.7500  0.5000 x2

Properties
Uncorrected formation energy in eV per atom: -0.402
Crystal system: tetragonal



Entry 5:
RbSi2Ir2 | PBE-GGA | relaxed

Lattice parameters (Å, degrees): 3.9735 3.9735 14.3507 90.00 90.00 90.00
Space group I4/mmm (No. 139)
One atom of each set of equivalent atoms:
Rb  0.0000  0.0000  0.0000 x2
Si  0.0000  0.5000  0.2500 x4
Ir  0.0000  0.0000  0.3393 x4

Properties
Uncorrected formation energy in eV per atom: -0.218
Crystal system: tetragonal
Offset from the most stable computed form in meV/atom: 214



Entry 6:
RbSi2Ir | PBE-GGA | relaxed

Lattice parameters (Å, degrees): 6.2404 6.2404 12.8141 90.00 90.00 90.00
Space group I4_1/amd (No. 141, origin choice 2)
One atom of each set of equivalent atoms:
Rb  0.0000  0.2500  0.3750 x4
Si  0.0000  0.0000  0.0000 x8
Ir  0.0000  0.2500  0.8750 x4

Properties
Uncorrected formation energy in eV per atom: -0.216
Crystal system: tetragonal
Offset from the most stable computed form in meV/atom: 0



Entry 7:
Rb2SiIr | PBE-GGA | relaxed

Lattice parameters (Å, degrees): 12.9637 12.9637 4.5291 90.00 90.00 90.00
Space group I-42d (No. 122)
One atom of each set of equivalent atoms:
Rb  0.0396  0.7500  0.1250 x8
Si  0.0000  0.0000  0.5000 x4
Ir  0.0000  0.0000  0.0000 x4

Properties
Uncorrected formation energy in eV per atom: 0.202
Crystal system: tetragonal



Entry 8:
RbSi2Ir2 | PBE-GGA | relaxed

Lattice parameters (Å, degrees): 4.1408 4.1408 12.8874 90.00 90.00 90.00
Space group I4/mmm (No. 139)
One atom of each set of equivalent atoms:
Rb  0.0000  0.0000  0.0000 x2
Si  0.0000  0.0000  0.3404 x4
Ir  0.0000  0.5000  0.2500 x4

Properties
Uncorrected formation energy in eV per atom: -0.432
Crystal system: tetragonal
Offset from the most stable computed form in meV/atom: 0



Entry 9:
RbSr2SiIr | PBE-GGA | relaxed

Lattice parameters (Å, degrees): 6.0194 6.0194 4.7291 90.00 90.00 90.00
Space group P4/mmm (No. 123)
One atom of each set of equivalent atoms:
Rb  0.0000  0.0000  0.0000 x1
Sr  0.0000  0.5000  0.5000 x2
Si  0.5000  0.5000  0.0000 x1
Ir  0.5000  0.5000  0.5000 x1

Properties
Uncorrected formation energy in eV per atom: -0.144
Crystal system: tetragonal



Entry 10:
RbSi2Te8Ir | PBE-GGA | relaxed

Lattice parameters (Å, degrees): 6.6062 6.6062 34.7154 90.00 90.00 120.00
Space group R-3 (No. 148, hexagonal axes)
One atom of each set of equivalent atoms:
Rb  0.0000  0.0000  0.0000 x3
Si  0.0000  0.0000  0.2345 x6
Te  0.0000  0.0000  0.3051 x6
Te  0.0229  0.6432  0.7904 x18
Ir  0.0000  0.0000  0.5000 x3

Properties
Uncorrected formation energy in eV per atom: -0.095
Crystal system: trigonal



Entry 11:
RbZn2SiIr | PBE-GGA | relaxed

Lattice parameters (Å, degrees): 5.0308 5.0308 4.5752 90.00 90.00 90.00
Space group P4/mmm (No. 123)
One atom of each set of equivalent atoms:
Rb  0.0000  0.0000  0.0000 x1
Zn  0.0000  0.5000  0.5000 x2
Si  0.5000  0.5000  0.0000 x1
Ir  0.5000  0.5000  0.5000 x1

Properties
Uncorrected formation energy in eV per atom: -0.190
Crystal system: tetragonal



Entry 12:
RbSn2Ir2 | PBE-GGA | relaxed

Lattice parameters (Å, degrees): 8.3430 8.3430 3.0098 90.00 90.00 90.00
Space group P4/mbm (No. 127)
One atom of each set of equivalent atoms:
Rb  0.0000  0.0000  0.0000 x2
Sn  0.1491  0.3509  0.5000 x4
Ir  0.1374  0.6374  0.0000 x4

Properties
Crystal system: tetragonal
ΔH_f (0 K) in meV/atom: 94
Offset from the most stable computed form in meV/atom: 162



Entry 13:
RbSn4Ir | PBE-GGA | relaxed

Lattice parameters (Å, degrees): 18.3378 8.5956 5.5421 90.00 107.58 90.00
Space group C2/m (No. 12)
One atom of each set of equivalent atoms:
Rb  0.1940  0.0000  0.1870 x4
Sn  0.0000  0.2194  0.0000 x4
Sn  0.0984  0.2983  0.5831 x8
Sn  0.1395  0.5000  0.1556 x4
Ir  0.0078  0.5000  0.7560 x4

Properties
Crystal system: monoclinic
ΔH_f (0 K) in meV/atom: -179



Entry 14:
RbSn2Ir2 | PBE-GGA | relaxed

Lattice parameters (Å, degrees): 4.4463 4.4463 12.6289 90.00 90.00 90.00
Space group I4/mmm (No. 139)
One atom of each set of equivalent atoms:
Rb  0.0000  0.0000  0.0000 x2
Sn  0.0000  0.0000  0.3622 x4
Ir  0.0000  0.5000  0.2500 x4

Properties
Crystal system: tetragonal
ΔH_f (0 K) in meV/atom: -68
Offset from the most stable computed form in meV/atom: 0



Entry 15:
RbSnIr3 | PBE-GGA | relaxed

Lattice parameters (Å, degrees): 5.0383 5.0383 5.0383 90.00 90.00 90.00
Space group Pm-3m (No. 221)
One atom of each set of equivalent atoms:
Rb  0.0000  0.0000  0.0000 x1
Sn  0.5000  0.5000  0.5000 x1
Ir  0.0000  0.5000  0.5000 x3

Properties
Crystal system: cubic
ΔH_f (0 K) in meV/atom: 1505
Offset from the most stable computed form in meV/atom: 0



Entry 16:
RbSnIr3 | PBE-GGA | relaxed

Lattice parameters (Å, degrees): 4.9282 4.9282 4.9282 90.00 90.00 90.00
Space group Pm-3m (No. 221)
One atom of each set of equivalent atoms:
Rb  0.0000  0.0000  0.0000 x1
Sn  0.5000  0.5000  0.5000 x1
Ir  0.0000  0.0000  0.5000 x3

Properties
Crystal system: cubic
ΔH_f (0 K) in meV/atom: 2911
Offset from the most stable computed form in meV/atom: 1406



Entry 17:
RbSn8Ir2 | PBE-GGA | relaxed

Lattice parameters (Å, degrees): 6.3581 6.3581 9.7047 90.00 90.00 90.00
Space group P4/mmm (No. 123)
One atom of each set of equivalent atoms:
Rb  0.0000  0.0000  0.0000 x1
Sn  0.2512  0.2512  0.3317 x8
Ir  0.0000  0.5000  0.5000 x2

Properties
Crystal system: tetragonal
ΔH_f (0 K) in meV/atom: -28



Entry 18:
RbSnIrW2 | PBE-GGA | relaxed

Lattice parameters (Å, degrees): 4.8611 4.8611 4.7842 90.00 90.00 90.00
Space group P4/mmm (No. 123)
One atom of each set of equivalent atoms:
Rb  0.0000  0.0000  0.0000 x1
Sn  0.5000  0.5000  0.5000 x1
Ir  0.0000  0.0000  0.5000 x1
W  0.0000  0.5000  0.0000 x2

Properties
Crystal system: tetragonal
ΔH_f (0 K) in meV/atom: 3587



Entry 19:
RbZn2SnIr | PBE-GGA | relaxed

Lattice parameters (Å, degrees): 5.0737 5.0737 5.0413 90.00 90.00 90.00
Space group P4/mmm (No. 123)
One atom of each set of equivalent atoms:
Rb  0.0000  0.0000  0.0000 x1
Zn  0.0000  0.5000  0.5000 x2
Sn  0.5000  0.5000  0.0000 x1
Ir  0.5000  0.5000  0.5000 x1

Properties
Crystal system: tetragonal
ΔH_f (0 K) in meV/atom: -140



Entry 20:
Rb3SrIr | PBE-GGA | relaxed

Lattice parameters (Å, degrees): 6.5480 6.5480 6.5480 90.00 90.00 90.00
Space group Pm-3m (No. 221)
One atom of each set of equivalent atoms:
Rb  0.0000  0.0000  0.5000 x3
Sr  0.5000  0.5000  0.5000 x1
Ir  0.0000  0.0000  0.0000 x1

Properties
Crystal system: cubic
ΔH_f (0 K) in meV/atom: 777



Calculated total energy, -5.61; -4.42; -5.86; -5.49; -6.12; -5.38; -3.85; -6.34; -3.87; -3.91; -3.75; -5.24; -4.49; -5.41; -4.81; -3.40; -4.64; -4.36; -3.42; -1.91 eV/atom (same order as the records).